Entry from the Alexandria database: LaPmAsS after structural relaxation (PBE).

a b c (Å): 4.2151 4.2151 7.2632
angles (deg): 73.13 73.13 60.00
Atoms (fractional coordinates):
Pm 0.1950 0.1950 0.4151
As 0.4464 0.4464 0.6609
La 0.6933 0.6933 0.9200
S 0.9417 0.9417 0.1748

Computed properties:
Its space-group type is R3m. For the magnetic moment, the calculation gives 0.0000 μB per atom. The raw formation energy comes out at -713.9 kJ/mol of formula units.